Record 1
The following is a DFT calculation (GGA-PBEsol) of a geometry-optimized ZrOsBr2 structure.

Computed properties:
The calculation puts the calculated density at 9.56 g/cm³. For the energy above the most stable polymorph in this dataset, the calculation gives 482 meV/atom. Its space group is R-3m. The energy comes out at -24.147 eV for the cell shown. As for the raw formation energy: 0.225 eV/atom.

abc: 3.1829 3.1829 8.9240
angles: 79.73 79.73 60.00
Fractional positions:
Os (0.0000, 0.0000, 0.0000)
Br (0.9086, 0.9086, 0.2743)
Br (0.0914, 0.0914, 0.7257)
Zr (0.5000, 0.5000, 0.5000)

---

Record 2
The following is a DFT calculation (GGA-PBEsol) of a geometry-optimized CoSN2O structure.

Computed properties:
The calculation puts the calculated density at 5.21 g/cm³. Its space group is P4/mmm. The energy comes out at -28.382 eV for the cell shown. As for the raw formation energy: 1.208 eV/atom.

abc: 3.4286 3.4286 3.6631
angles: 90.00 90.00 90.00
Each line ends with the local moment (μB).
Fractional positions:
S (0.0000, 0.0000, 0.0000)  -0.01
Co (0.5000, 0.5000, 0.5000)  2.44
O (0.0000, 0.0000, 0.5000)  0.19
N (0.0000, 0.5000, 0.0000)  0.21
N (0.5000, 0.0000, 0.0000)  0.21

---

Record 3
The following is a DFT calculation (GGA-PBEsol) of a geometry-optimized BaMoSe2 structure.

Computed properties:
The calculation puts the calculated density at 6.24 g/cm³. For the energy above the most stable polymorph in this dataset, the calculation gives 0 meV/atom. Its space group is P4mm. The energy comes out at -22.951 eV for the cell shown. As for the raw formation energy: -0.333 eV/atom.

abc: 3.6118 3.6118 7.9765
angles: 90.00 90.00 90.00
Each line ends with the local moment (μB).
Fractional positions:
Ba (0.0000, 0.0000, 0.4630)  0.09
Mo (0.5000, 0.5000, 0.9389)  1.29
Se (0.0000, 0.0000, 0.8539)  0.00
Se (0.5000, 0.5000, 0.2441)  0.05

---

Record 4
The following is a DFT calculation (GGA-PBEsol) of a geometry-optimized CaNiIr2 structure.

Computed properties:
The calculation puts the calculated density at 13.42 g/cm³. For the energy above the most stable polymorph in this dataset, the calculation gives 0 meV/atom. Its space group is C2/m. The energy comes out at -27.324 eV for the cell shown. The value obtained for the formation energy is 153 meV per atom.

abc: 2.7108 4.7573 5.3629
angles: 115.62 103.48 92.53
Fractional positions:
Ni (0.0000, 0.5000, 0.0000)
Ca (0.5000, 0.0000, 0.0000)
Ir (0.5000, 0.5000, 0.5000)
Ir (0.0000, 0.0000, 0.5000)

---

> Among the records above, which one has the lowest energy?

CoSN2O